# 1
An optimized crystal structure of MgIn2Cl, computed with GGA-PBE.

Cell: 3.248 3.248 10.076 Å, 90.00 90.00 90.00°
Fractional positions:
Mg  0.000  0.000  0.000
In  0.000  0.000  0.526
In  0.500  0.500  0.776
Cl  0.500  0.500  0.138

## Properties
space-group type	P4mm
DOS at the Fermi energy	1.536	states/eV/f.u.
polymorph energy (0 for the lowest one)	0.002	eV per atom
raw formation energy	-0.50	eV/atom
total magnetization	0.0	μB per cell



# 2
An optimized crystal structure of MgIn2Cl, computed with GGA-PBE.

Cell: 12.381 12.381 12.381 Å, 160.37 160.37 27.90°
Fractional positions:
Mg  0.000  0.000  0.000
Mg  0.750  0.250  0.500
In  0.125  0.625  0.000
In  0.375  0.375  0.500
In  0.625  0.125  0.000
In  0.875  0.875  0.500
Cl  0.250  0.750  0.500
Cl  0.500  0.500  0.000

## Properties
space-group type	I-42d
DOS at the Fermi energy	2.009	states/eV/f.u.
polymorph energy (0 for the lowest one)	0.247	eV per atom
raw formation energy	-0.26	eV/atom
total magnetization	0.0	μB per cell



# 3
An optimized crystal structure of MgIn2Cl, computed with GGA-PBE.

Cell: 5.254 5.254 5.254 Å, 60.00 60.00 60.00°
Fractional positions:
Mg  0.000  0.000  0.000
In  0.250  0.250  0.250
In  0.500  0.500  0.500
Cl  0.750  0.750  0.750

## Properties
space-group type	F-43m
DOS at the Fermi energy	4.213	states/eV/f.u.
polymorph energy (0 for the lowest one)	0.349	eV per atom
raw formation energy	-0.16	eV/atom
total magnetization	0.0	μB per cell



# 4
An optimized crystal structure of Mg2In2Cl7, computed with GGA-PBE.

Cell: 7.600 7.600 6.416 Å, 96.18 96.18 102.55°
Fractional positions:
Mg  0.234  0.234  0.417
Mg  0.766  0.766  0.583
In  0.302  0.698  0.000
In  0.698  0.302  0.000
Cl  0.000  0.000  0.500
Cl  0.086  0.419  0.222
Cl  0.397  0.397  0.742
Cl  0.419  0.086  0.222
Cl  0.581  0.914  0.778
Cl  0.603  0.603  0.258
Cl  0.914  0.581  0.778

## Properties
space-group type	C2/m
DOS at the Fermi energy	4.699	states/eV/f.u.
raw formation energy	-1.31	eV/atom
total magnetization	0.0	μB per cell



# 5
An optimized crystal structure of MgInCl, computed with GGA-PBE.

Cell: 3.454 5.903 8.051 Å, 74.13 77.69 89.96°
Fractional positions:
Mg  0.156  0.089  0.184
Mg  0.844  0.911  0.816
In  0.000  0.500  0.500
In  0.500  0.000  0.500
Cl  0.223  0.734  0.057
Cl  0.777  0.266  0.943

## Properties
space-group type	P-1
DOS at the Fermi energy	0.348	states/eV/f.u.
polymorph energy (0 for the lowest one)	0.094	eV per atom
raw formation energy	-0.77	eV/atom
total magnetization	0.0	μB per cell



# 6
An optimized crystal structure of MgInCl, computed with GGA-PBE.

Cell: 5.110 3.663 8.266 Å, 90.00 92.32 90.00°
Fractional positions:
Mg  0.009  0.250  0.201
Mg  0.991  0.750  0.799
In  0.269  0.250  0.553
In  0.731  0.750  0.447
Cl  0.256  0.750  0.069
Cl  0.744  0.250  0.931

## Properties
space-group type	P2_1/m
DOS at the Fermi energy	0.581	states/eV/f.u.
polymorph energy (0 for the lowest one)	0.110	eV per atom
raw formation energy	-0.75	eV/atom
total magnetization	0.0	μB per cell



Values for total energy, eV/atom, ordered as above
-2.73; -2.49; -2.38; -3.28; -2.83; -2.81